Entry 1:
Crystalline Cs2LaPdCl6 at its relaxed geometry. Source: Alexandria, functional PBE.

It has space group I4/mmm (No. 139), with a = 7.4496 Å, b = 7.4496 Å, c = 12.2870 Å, α = 90.00°, β = 90.00° and γ = 90.00°. The inequivalent atoms are Cs at (0.0000, 0.5000, 0.2500), La at (0.0000, 0.0000, 0.0000), Pd at (0.0000, 0.0000, 0.5000), Cl at (0.0000, 0.0000, 0.2251) and Cl at (0.2365, 0.2365, 0.5000).

The size of the total moment is 2.0 μB/cell. For the density of states at the Fermi level, the calculation gives 0.00 states/eV/cell. As for the raw total energy: -4.05 eV/atom. Its mass density is 3.53 g/cm³.

---

Entry 2:
Crystalline Ni2AsPb at its relaxed geometry. Source: Alexandria, functional PBE.

It has space group Imm2 (No. 44), with a = 3.1350 Å, b = 3.5444 Å, c = 12.5231 Å, α = 90.00°, β = 90.00° and γ = 90.00°. The inequivalent atoms are Ni at (0.0000, 0.0000, 0.0000), Ni at (0.0000, 0.5000, 0.3305), As at (0.0000, 0.0000, 0.4550) and Pb at (0.0000, 0.5000, 0.7008).

The size of the total moment is 0.0 μB/cell. For the density of states at the Fermi level, the calculation gives 4.13 states/eV/cell. As for the raw total energy: -4.97 eV/atom. Its mass density is 9.53 g/cm³.

---

Entry 3:
Crystalline K2Cu2Hg at its relaxed geometry. Source: Alexandria, functional PBE.

It has space group I4/mmm (No. 139), with a = 3.5244 Å, b = 3.5244 Å, c = 22.1357 Å, α = 90.00°, β = 90.00° and γ = 90.00°. The inequivalent atoms are K at (0.0000, 0.0000, 0.1213), Cu at (0.0000, 0.5000, 0.2500) and Hg at (0.0000, 0.0000, 0.5000).

The size of the total moment is 0.0 μB/cell. For the density of states at the Fermi level, the calculation gives 4.87 states/eV/cell. The energy above the most stable polymorph in this dataset is 0.0 meV per atom. As for the raw total energy: -1.98 eV/atom. Its mass density is 4.90 g/cm³.

---

Entry 4:
Crystalline TaNb at its relaxed geometry. Source: Alexandria, functional PBE.

It has space group Fm-3m (No. 225), with a = 5.4785 Å, b = 5.4785 Å, c = 5.4785 Å, α = 90.00°, β = 90.00° and γ = 90.00°. The inequivalent atoms are Ta at (0.0000, 0.0000, 0.0000) and Nb at (0.0000, 0.0000, 0.5000).

The size of the total moment is 0.0 μB/cell. For the density of states at the Fermi level, the calculation gives 15.62 states/eV/cell. The energy above the most stable polymorph in this dataset is 1086.9 meV per atom. As for the raw total energy: -9.88 eV/atom. Its mass density is 11.06 g/cm³.

---

Entry 5:
Crystalline KTeRhAu2 at its relaxed geometry. Source: Alexandria, functional PBE.

It has space group P4/mmm (No. 123), with a = 5.3539 Å, b = 5.3539 Å, c = 6.0213 Å, α = 90.00°, β = 90.00° and γ = 90.00°. The inequivalent atoms are K at (0.0000, 0.0000, 0.0000), Te at (0.0000, 0.0000, 0.5000), Rh at (0.5000, 0.5000, 0.5000) and Au at (0.0000, 0.5000, 0.0000).

The size of the total moment is 1.3 μB/cell. For the density of states at the Fermi level, the calculation gives 8.21 states/eV/cell. As for the raw total energy: -2.01 eV/atom. Its mass density is 6.38 g/cm³.

---

Entry 6:
Crystalline YHoTmLu at its relaxed geometry. Source: Alexandria, functional PBE.

It has space group F-43m (No. 216), with a = 7.9317 Å, b = 7.9317 Å, c = 7.9317 Å, α = 90.00°, β = 90.00° and γ = 90.00°. The inequivalent atoms are Y at (0.0000, 0.0000, 0.0000), Ho at (0.0000, 0.0000, 0.5000), Tm at (0.2500, 0.2500, 0.2500) and Lu at (0.2500, 0.2500, 0.7500).

The size of the total moment is 0.0 μB/cell. For the density of states at the Fermi level, the calculation gives 37.84 states/eV/cell. As for the raw total energy: -4.88 eV/atom. Its mass density is 7.96 g/cm³.